[1]
The following is a DFT calculation (PBE) of TbPm2Dy after structural relaxation.

offset from the most stable computed form: 1.0 meV/atom

Unit cell a=3.6193 b=3.6193 c=34.9886 alpha=90.00 beta=90.00 gamma=120.00
Space group R3m (No. 160, hexagonal axes)
Unique sites:
Tb  0.0000  0.0000  0.0000 x3
Pm  0.0000  0.0000  0.4165 x3
Pm  0.0000  0.0000  0.5824 x3
Dy  0.0000  0.0000  0.8329 x3

[2]
The following is a DFT calculation (PBE) of Tb3Ho2ErBi6 after structural relaxation.

E_tot: -0.187 hartree per atom

Unit cell a=19.480 b=4.470 c=8.941 alpha=90.00 beta=103.19 gamma=90.00
Space group C2/m (No. 12)
Unique sites:
Tb  0.000  0.000  0.000 x2
Tb  0.167  0.500  0.333 x4
Ho  0.167  0.500  0.833 x4
Er  0.000  0.000  0.500 x2
Bi  0.000  0.500  0.252 x4
Bi  0.166  0.000  0.584 x4
Bi  0.167  0.000  0.082 x4

[3]
The following is a DFT calculation (PBE) of Na2US3 after structural relaxation.

offset from the most stable computed form: 0.0 meV/atom
formation energy (no corrections): -1.377 eV per atom

Unit cell a=6.986 b=12.092 c=7.025 alpha=90.00 beta=109.55 gamma=90.00
Space group C2/m (No. 12)
Unique sites:
Na  0.000  0.000  0.000 x2
Na  0.000  0.160  0.500 x4
Na  0.000  0.500  0.500 x2
U  0.000  0.333  0.000 x4
S  0.221  0.500  0.229 x4
S  0.246  0.322  0.774 x8

What is the formula in the third record?
Na2US3